Density functional theory data (PBE) for crystalline Nd2GdAu at its relaxed geometry.

```
4
Lattice="-1.3287 1.9564 2.9076 -2.9431 -4.3719 1.5968 4.2252 -1.7172 3.0862" Properties=species:S:1:pos:R:3 pbc="T T T"
Gd -0.0233 -2.0663 3.7953
Nd -1.4716 -2.1860 0.7984
Nd 2.1126 -0.8586 1.5431
Au -0.6643 0.9782 1.4538
```

## Properties
Its density of states at the Fermi level is 1.2344 states/eV/atom. Its distance to the lowest polymorph of the same formula is 107 meV/atom. Its space group is P4/mmm (123). The raw total energy comes out at -6.9652 eV/atom.

***

Density functional theory data (PBE) for crystalline NdGd2Au at its relaxed geometry.

```
4
Lattice="-3.7018 -0.3778 -2.8501 -1.4550 -3.9664 2.4156 -2.6066 2.7925 3.0153" Properties=species:S:1:pos:R:3 pbc="T T T"
Gd -0.7275 -1.9832 1.2078
Gd -1.3033 1.3963 1.5077
Nd -3.8817 -0.7758 1.2904
Au -1.8509 -0.1889 -1.4251
```

## Properties
Its density of states at the Fermi level is 1.3203 states/eV/atom. Its distance to the lowest polymorph of the same formula is 148 meV/atom. Its space group is P4/mmm (123). The raw total energy comes out at -9.3024 eV/atom.

***

Density functional theory data (PBE) for crystalline Nd2GdAu at its relaxed geometry.

```
4
Lattice="-1.3744 -1.4286 -3.1525 -0.8082 -3.1657 1.7869 -7.8183 3.1214 1.9939" Properties=species:S:1:pos:R:3 pbc="T T T"
Au -1.0913 -2.2972 -0.6828
Nd -6.1764 2.4659 1.5752
Nd -1.6419 0.6555 0.4187
Gd -5.0004 -0.7365 0.3142
```

## Properties
Its density of states at the Fermi level is 1.5586 states/eV/atom. Its distance to the lowest polymorph of the same formula is 0 meV/atom. Its space group is P4/mmm (123). The raw total energy comes out at -7.0720 eV/atom.

***

Formation energy in eV per atom, matching the order above: -0.2418 -0.2506 -0.3485